# 1
ZrGeSeBr2 after structural relaxation, computed with PBE-GGA.

The structure in POSCAR format:
```
ZrGeSeBr2
1.0
5.1548 0.0000 0.0000
0.0000 5.1548 0.0000
0.0000 0.0000 5.3073
Zr Ge Se Br
1 1 1 2
Direct
0.0000 0.0000 0.0000
0.5000 0.5000 0.5000
0.5000 0.5000 0.0000
0.0000 0.5000 0.5000
0.5000 0.0000 0.5000
```

Values from the calculation:
The energy relative to the elements, uncorrected comes out at 0.224 eV/atom. For the total magnetization, the calculation gives 2.1 μB per formula unit. The value obtained for the energy above the lowest structure with this stoichiometry is 0.526 eV/atom. As for the symmetry: P4/mmm. For the total energy, the calculation gives -3.776 eV per atom.



# 2
SrCaHf3 after structural relaxation, computed with PBE-GGA.

The structure in POSCAR format:
```
SrCaHf3
1.0
5.3448 0.0000 0.0000
0.0000 5.3448 0.0000
0.0000 0.0000 5.3448
Sr Ca Hf
1 1 3
Direct
0.0000 0.0000 0.0000
0.5000 0.5000 0.5000
0.0000 0.5000 0.5000
0.5000 0.0000 0.5000
0.5000 0.5000 0.0000
```

Values from the calculation:
For the total magnetization, the calculation gives 1.6 μB per formula unit. As for the formation energy: 744 kJ/mol of formula units. The value obtained for the energy above the lowest structure with this stoichiometry is 0.000 eV/atom. As for the symmetry: Pm-3m. For the total energy, the calculation gives -5.168 eV per atom.



# 3
Mg4TaBe after structural relaxation, computed with PBE-GGA.

The structure in POSCAR format:
```
Mg4TaBe
1.0
0.0000 3.8897 3.8897
3.8897 0.0000 3.8897
3.8897 3.8897 0.0000
Mg Ta Be
4 1 1
Direct
0.1244 0.1244 0.1244
0.1244 0.1244 0.6267
0.1244 0.6267 0.1244
0.6267 0.1244 0.1244
0.7500 0.7500 0.7500
0.5000 0.5000 0.5000
```

Values from the calculation:
For the total magnetization, the calculation gives 2.2 μB per formula unit. As for the formation energy: 459 kJ/mol of formula units. As for the symmetry: F-43m. For the total energy, the calculation gives -2.866 eV per atom.



# 4
Tb12Pm6Pb after structural relaxation, computed with PBE-GGA.

The structure in POSCAR format:
```
Tb12Pm6Pb
1.0
5.9782 3.4515 5.0387
-5.9782 3.4515 5.0387
0.0000 -6.9031 5.0387
Tb Pm Pb
12 6 1
Direct
0.0113 0.3586 0.1934
0.1934 0.0113 0.3586
0.2234 0.5671 0.4586
0.3586 0.1934 0.0113
0.4329 0.5414 0.7766
0.4586 0.2234 0.5671
0.5414 0.7766 0.4329
0.5671 0.4586 0.2234
0.6414 0.8066 0.9887
0.7766 0.4329 0.5414
0.8066 0.9887 0.6414
0.9887 0.6414 0.8066
0.0920 0.2574 0.6935
0.2574 0.6935 0.0920
0.3065 0.9080 0.7426
0.6935 0.0920 0.2574
0.7426 0.3065 0.9080
0.9080 0.7426 0.3065
0.0000 0.0000 0.0000
```

Values from the calculation:
For the total magnetization, the calculation gives 0.0 μB per formula unit. As for the formation energy: 101 kJ/mol of formula units. The value obtained for the energy above the lowest structure with this stoichiometry is 0.000 eV/atom. As for the symmetry: R-3. For the total energy, the calculation gives -4.565 eV per atom.



# 5
HoV2Fe9 after structural relaxation, computed with PBE-GGA.

The structure in POSCAR format:
```
HoV2Fe9
1.0
2.4133 1.3933 7.7730
-2.4133 1.3933 7.7730
0.0000 -2.7866 7.7730
Ho V Fe
1 2 9
Direct
0.0000 0.0000 0.0000
0.1449 0.1449 0.1449
0.8551 0.8551 0.8551
0.0833 0.5899 0.5899
0.3333 0.3333 0.3333
0.4101 0.4101 0.9167
0.4101 0.9167 0.4101
0.5000 0.5000 0.5000
0.5899 0.0833 0.5899
0.5899 0.5899 0.0833
0.6667 0.6667 0.6667
0.9167 0.4101 0.4101
```

Values from the calculation:
For the total magnetization, the calculation gives 13.4 μB per formula unit. As for the formation energy: -53 kJ/mol of formula units. As for the symmetry: R-3m. For the total energy, the calculation gives -8.294 eV per atom.



# 6
KTc2Au after structural relaxation, computed with PBE-GGA.

The structure in POSCAR format:
```
KTc2Au
1.0
0.0000 3.3738 3.3738
3.3738 0.0000 3.3738
3.3738 3.3738 0.0000
K Tc Au
1 2 1
Direct
0.0000 0.0000 0.0000
0.2500 0.2500 0.2500
0.7500 0.7500 0.7500
0.5000 0.5000 0.5000
```

Values from the calculation:
For the total magnetization, the calculation gives 5.3 μB per formula unit. As for the formation energy: 601 kJ/mol of formula units. The value obtained for the energy above the lowest structure with this stoichiometry is 1.133 eV/atom. As for the symmetry: Fm-3m. For the total energy, the calculation gives -4.719 eV per atom.